# 1
Density functional theory data (PBE-GGA) for SbTeCN2 after structural relaxation.

Summary:
Final energy: -0.3194 Ry per atom
Uncorrected formation energy: 11.41 eV/f.u.
Distance to the lowest polymorph of the same formula: 0.00 eV per formula unit
Total magnetization: 1.16 μB per cell
Space-group type: P4/mmm (123)

Lattice parameters (Å, degrees): 3.8477 3.8477 7.1034 90.00 90.00 90.00
Site moments in Bohr magnetons follow the coordinates.
Atoms (fractional coordinates):
Sb  0.0000  0.0000  0.0000  -0.03
C  0.5000  0.5000  0.5000  0.35
Te  0.0000  0.0000  0.5000  -0.07
N  0.0000  0.5000  0.0000  0.21
N  0.5000  0.0000  0.0000  0.21

# 2
Density functional theory data (PBE-GGA) for Cr2NiIr after structural relaxation.

Summary:
Final energy: -0.6225 Ry per atom
Energy of formation: 0.01 eV per formula unit
Total magnetization: 0.33 μB per cell
Space-group type: Pmm2 (25)

Lattice parameters (Å, degrees): 2.6426 3.5706 5.2303 90.00 90.00 90.00
Site moments in Bohr magnetons follow the coordinates.
Atoms (fractional coordinates):
Cr  0.0000  0.0000  0.9907  0.70
Cr  0.5000  0.5000  0.2528  -0.47
Ir  0.0000  0.0000  0.4932  0.05
Ni  0.5000  0.5000  0.7633  0.05